Compound: ZrZnPd2
Source: the Open Quantum Materials Database
Functional: PBE
Structure: relaxed

Symmetry: Immm
Formation enthalpy at 0 K in eV/atom: -0.65
Calculated volume in Å³ per cell: 401.90

Structure (POSCAR):
```
ZrZnPd2
1.0
-1.350 4.117 -1.424
-6.073 -2.142 -0.438
-2.250 3.737 12.935
Pd Zn Zr
12 6 6
Direct
0.500 0.750 0.333 Pd
0.000 0.250 0.500 Pd
0.500 0.750 0.000 Pd
0.500 0.250 0.333 Pd
0.500 0.250 0.667 Pd
0.000 0.251 0.167 Pd
0.500 0.750 0.667 Pd
0.000 0.750 0.500 Pd
0.000 0.749 0.167 Pd
0.000 0.251 0.833 Pd
0.000 0.749 0.833 Pd
0.500 0.250 0.000 Pd
0.500 0.000 0.834 Zn
0.500 0.000 0.500 Zn
0.000 0.500 0.334 Zn
0.500 0.000 0.166 Zn
0.000 0.500 0.000 Zn
0.000 0.500 0.666 Zn
0.000 0.000 0.333 Zr
0.500 0.500 0.167 Zr
0.000 0.000 0.000 Zr
0.500 0.500 0.833 Zr
0.500 0.500 0.500 Zr
0.000 0.000 0.667 Zr
```